1.
Ba2SrCu | meta-GGA SCAN | single point on PBEsol structure

Cell and atoms, written as POSCAR:
```
Ba2SrCu
1.0
2.803 -2.808 0.000
2.803 2.808 0.000
0.000 0.000 10.425
Ba Sr Cu
2 1 1
Direct
0.000 0.000 0.175
0.000 0.000 0.825
0.500 0.500 0.500
0.500 0.500 0.000
```

Calculated values
E_tot, eV for the cell shown: -116.36
Energy of formation from the pure elements, meV/atom: 54
D(E_F), states/eV per atom: 0.885
Excess energy over the best structure of this formula in the dataset, eV/atom: 0.0000
Spin magnetization, μB per cell: 0.16

***

2.
LaFeOs2 | meta-GGA SCAN | single point on PBEsol structure

Cell and atoms, written as POSCAR:
```
LaFeOs2
1.0
-1.386 2.266 5.094
1.386 -2.266 5.094
1.386 2.266 -5.094
La Fe Os
1 1 2
Direct
0.000 0.000 0.000
0.500 0.500 0.000
0.285 0.785 0.500
0.715 0.215 0.500
```

Calculated values
E_tot, eV for the cell shown: -202.94
Energy of formation from the pure elements, meV/atom: 515
D(E_F), states/eV per atom: 1.151
Excess energy over the best structure of this formula in the dataset, eV/atom: 0.0000
Spin magnetization, μB per cell: 1.41

***

3.
CaTc2Rh | meta-GGA SCAN | single point on PBEsol structure

Cell and atoms, written as POSCAR:
```
CaTc2Rh
1.0
4.773 0.000 0.000
0.000 4.773 0.000
0.000 0.000 2.748
Ca Tc Rh
1 2 1
Direct
0.000 0.000 0.000
0.000 0.500 0.500
0.500 0.000 0.500
0.500 0.500 0.000
```

Calculated values
E_tot, eV for the cell shown: -110.64
Energy of formation from the pure elements, meV/atom: 728
D(E_F), states/eV per atom: 1.123
Excess energy over the best structure of this formula in the dataset, eV/atom: 0.2889
Spin magnetization, μB per cell: 0.00

***

4.
LaSc2 | meta-GGA SCAN | single point on PBEsol structure

Cell and atoms, written as POSCAR:
```
LaSc2
1.0
5.342 0.000 0.000
-2.671 4.626 0.000
0.000 0.000 3.269
La Sc
1 2
Direct
0.000 0.000 0.000
0.333 0.667 0.500
0.667 0.333 0.500
```

Calculated values
E_tot, eV for the cell shown: -71.25
Energy of formation from the pure elements, meV/atom: 109
D(E_F), states/eV per atom: 1.567
Excess energy over the best structure of this formula in the dataset, eV/atom: 0.0418
Spin magnetization, μB per cell: 0.00

***

5.
Ag3BiO | meta-GGA SCAN | single point on PBEsol structure

Cell and atoms, written as POSCAR:
```
Ag3BiO
1.0
4.493 0.000 0.000
0.000 4.493 0.000
0.000 0.000 4.493
Ag Bi O
3 1 1
Direct
0.000 0.000 0.500
0.000 0.500 0.000
0.500 0.000 0.000
0.500 0.500 0.500
0.000 0.000 0.000
```

Calculated values
E_tot, eV for the cell shown: -178.47
D(E_F), states/eV per atom: 0.621
Spin magnetization, μB per cell: 0.00
ΔE_f (raw), eV/atom: 0.089

***

6.
Y3FeGe | meta-GGA SCAN | single point on PBEsol structure

Cell and atoms, written as POSCAR:
```
Y3FeGe
1.0
4.946 0.000 0.000
0.000 4.946 0.000
0.000 0.000 4.946
Y Fe Ge
3 1 1
Direct
0.000 0.000 0.500
0.000 0.500 0.000
0.500 0.000 0.000
0.000 0.000 0.000
0.500 0.500 0.500
```

Calculated values
E_tot, eV for the cell shown: -120.62
Energy of formation from the pure elements, meV/atom: 25
D(E_F), states/eV per atom: 0.514
Spin magnetization, μB per cell: 0.00

***

7.
Tl2AgHg | meta-GGA SCAN | single point on PBEsol structure

Cell and atoms, written as POSCAR:
```
Tl2AgHg
1.0
5.628 -1.654 0.000
5.628 1.654 0.000
-1.961 0.000 5.082
Tl Ag Hg
2 1 1
Direct
0.000 0.000 0.000
0.216 0.216 0.658
0.477 0.477 0.499
0.765 0.765 0.199
```

Calculated values
E_tot, eV for the cell shown: -243.93
Energy of formation from the pure elements, meV/atom: 81
D(E_F), states/eV per atom: 0.304
Excess energy over the best structure of this formula in the dataset, eV/atom: 0.0031
Spin magnetization, μB per cell: 0.00

***

8.
MnCdPt | meta-GGA SCAN | single point on PBEsol structure

Cell and atoms, written as POSCAR:
```
MnCdPt
1.0
-1.460 1.873 4.354
1.460 -1.873 4.354
1.460 1.873 -4.354
Mn Cd Pt
1 1 1
Direct
0.000 0.000 0.000
0.322 0.322 0.000
0.644 0.644 0.000
```

Calculated values
E_tot, eV for the cell shown: -120.30
Energy of formation from the pure elements, meV/atom: -478
D(E_F), states/eV per atom: 0.306
Spin magnetization, μB per cell: 4.27

***

9.
TcIrRh2 | meta-GGA SCAN | single point on PBEsol structure

Cell and atoms, written as POSCAR:
```
TcIrRh2
1.0
1.342 0.775 8.790
-1.342 0.775 8.790
0.000 -1.549 8.790
Tc Ir Rh
1 1 2
Direct
0.000 0.000 0.000
0.251 0.251 0.251
0.500 0.500 0.500
0.749 0.749 0.749
```

Calculated values
E_tot, eV for the cell shown: -174.09
Energy of formation from the pure elements, meV/atom: -97
D(E_F), states/eV per atom: 1.000
Excess energy over the best structure of this formula in the dataset, eV/atom: 0.0397
Spin magnetization, μB per cell: 0.00

***

10.
AlFe3I | meta-GGA SCAN | single point on PBEsol structure

Cell and atoms, written as POSCAR:
```
AlFe3I
1.0
4.412 0.000 0.000
0.000 4.412 0.000
0.000 0.000 4.412
Al Fe I
1 3 1
Direct
0.000 0.000 0.000
0.000 0.000 0.500
0.000 0.500 0.000
0.500 0.000 0.000
0.500 0.500 0.500
```

Calculated values
E_tot, eV for the cell shown: -92.93
D(E_F), states/eV per atom: 0.708
Spin magnetization, μB per cell: 7.00
ΔE_f (raw), eV/atom: 1.190

***

11.
InFePt4 | meta-GGA SCAN | single point on PBEsol structure

Cell and atoms, written as POSCAR:
```
InFePt4
1.0
0.000 3.689 3.689
3.689 0.000 3.689
3.689 3.689 0.000
In Fe Pt
1 1 4
Direct
0.000 0.000 0.000
0.750 0.750 0.750
0.375 0.375 0.375
0.375 0.375 0.874
0.375 0.874 0.375
0.874 0.375 0.375
```

Calculated values
E_tot, eV for the cell shown: -332.51
Energy of formation from the pure elements, meV/atom: -37
D(E_F), states/eV per atom: 0.815
Spin magnetization, μB per cell: 3.86

***

12.
Hf2TaMnTl | meta-GGA SCAN | single point on PBEsol structure

Cell and atoms, written as POSCAR:
```
Hf2TaMnTl
1.0
5.161 0.000 0.000
0.000 5.161 0.000
0.000 0.000 5.073
Hf Ta Mn Tl
2 1 1 1
Direct
0.000 0.500 0.000
0.500 0.000 0.000
0.000 0.000 0.500
0.500 0.500 0.500
0.000 0.000 0.000
```

Calculated values
E_tot, eV for the cell shown: -274.32
Energy of formation from the pure elements, meV/atom: 1645
D(E_F), states/eV per atom: 0.641
Spin magnetization, μB per cell: 3.24